K2LiPtO4: optimized geometry, PBE-GGA.

Cell and atoms, written as POSCAR:
```
K2LiPtO4
1.0
5.6194 0.0000 0.0000
2.8097 6.7188 0.0000
2.8097 0.0000 8.6808
Pt O K Li
2 8 4 2
direct
0.5000 0.0000 0.0000
0.2500 0.5000 0.5000
0.8978 0.6964 0.5215
0.5807 0.3036 0.5215
0.3442 0.8036 0.0215
0.1693 0.1964 0.9785
0.4058 0.6964 0.4785
0.8522 0.8036 0.9785
0.6343 0.1964 0.0215
0.1157 0.3036 0.4785
0.1709 0.0000 0.6582
0.8291 0.0000 0.3418
0.5791 0.5000 0.8418
0.9209 0.5000 0.1582
0.0000 0.0000 0.0000
0.7500 0.5000 0.5000
```

Properties
For the formation energy (no corrections), the calculation gives -1.014 eV/atom.